First-principles (GGA-PBE) data for ScIrAu2 after structural relaxation, as listed in the Alexandria database.

```
4
Lattice="-1.987 1.987 4.353 1.987 -1.987 4.353 1.987 1.987 -4.353" Properties=species:S:1:pos:R:3 pbc="T T T"
Sc 0.000 0.000 0.000
Ir 0.000 0.000 4.353
Au 1.987 0.000 2.177
Au 0.000 1.987 2.177
```

Values from the calculation:
DFT formation energy in eV per atom: -0.50